A relaxed structure of ScTl2W. Source: Alexandria, functional PBE-GGA.

Lattice parameters (Å, degrees): 4.2461 4.3812 4.4551 90.00 90.00 90.00
Closest atoms and distances in Å follow each position.
Fractional coordinates of all 4 atoms:
Sc1 0.0000 0.0000 0.0000  4 W 3.05, 8 Tl 3.08-3.12
Tl1 0.0000 0.5000 0.5000  4 Tl 3.05, 4 W 3.08, 4 Sc 3.12
Tl2 0.5000 0.0000 0.5000  4 Tl 3.05, 4 Sc 3.08, 4 W 3.12
W1 0.5000 0.5000 0.0000  4 Sc 3.05, 8 Tl 3.08-3.12

Summary:
total moment = 0.0 μB/f.u.
E above lowest polymorph = 81 meV per atom
ΔH_f (0 K) = 2.129 eV per formula unit